[1]
The following is a PBE calculation of a geometry-optimized KNa5Cl6 structure, from Alexandria.

## Properties
Fermi-level density of states, states/eV/f.u.: 0.0
Uncorrected formation energy, meV per atom: -1630
Total DFT energy (no corrections), eV/cell: -76.68

a = 7.347 Å, b = 7.347 Å, c = 13.667 Å
α = 90.00°, β = 90.00°, γ = 120.00°
Atoms (fractional coordinates):
1 K 0.000 0.000 0.250
2 K 0.000 0.000 0.750
3 Na 0.000 0.400 0.250
4 Na 0.000 0.600 0.750
5 Na 0.333 0.667 0.000
6 Na 0.333 0.667 0.500
7 Na 0.400 0.000 0.250
8 Na 0.400 0.400 0.750
9 Na 0.600 0.000 0.750
10 Na 0.600 0.600 0.250
11 Na 0.667 0.333 0.000
12 Na 0.667 0.333 0.500
13 Cl 0.000 0.339 0.620
14 Cl 0.000 0.339 0.880
15 Cl 0.000 0.661 0.120
16 Cl 0.000 0.661 0.380
17 Cl 0.339 0.000 0.620
18 Cl 0.339 0.000 0.880
19 Cl 0.339 0.339 0.120
20 Cl 0.339 0.339 0.380
21 Cl 0.661 0.000 0.120
22 Cl 0.661 0.000 0.380
23 Cl 0.661 0.661 0.620
24 Cl 0.661 0.661 0.880

[2]
The following is a PBE calculation of a geometry-optimized NaSnOs3 structure, from Alexandria.

## Properties
Fermi-level density of states, states/eV/f.u.: 8.4
Total DFT energy (no corrections), eV/cell: -26.87

a = 4.937 Å, b = 4.937 Å, c = 4.937 Å
α = 90.00°, β = 90.00°, γ = 90.00°
Atoms (fractional coordinates):
1 Na 0.000 0.000 0.000
2 Sn 0.500 0.500 0.500
3 Os 0.000 0.500 0.500
4 Os 0.500 0.000 0.500
5 Os 0.500 0.500 0.000

[3]
The following is a PBE calculation of a geometry-optimized Al6W5N16 structure, from Alexandria.

## Properties
Fermi-level density of states, states/eV/f.u.: 0.0
Uncorrected formation energy, meV per atom: -642
Total DFT energy (no corrections), eV/cell: -237.77

a = 7.858 Å, b = 7.858 Å, c = 7.858 Å
α = 109.47°, β = 109.47°, γ = 109.47°
Atoms (fractional coordinates):
1 Al 0.250 0.500 0.750
2 Al 0.250 0.750 0.500
3 Al 0.500 0.250 0.750
4 Al 0.500 0.750 0.250
5 Al 0.750 0.250 0.500
6 Al 0.750 0.500 0.250
7 W 0.000 0.000 0.000
8 W 0.000 0.000 0.474
9 W 0.000 0.474 0.000
10 W 0.474 0.000 0.000
11 W 0.526 0.526 0.526
12 N 0.000 0.000 0.237
13 N 0.000 0.237 0.000
14 N 0.000 0.454 0.754
15 N 0.000 0.754 0.454
16 N 0.237 0.000 0.000
17 N 0.246 0.246 0.700
18 N 0.246 0.700 0.246
19 N 0.300 0.546 0.546
20 N 0.454 0.000 0.754
21 N 0.454 0.754 0.000
22 N 0.546 0.300 0.546
23 N 0.546 0.546 0.300
24 N 0.700 0.246 0.246
25 N 0.754 0.000 0.454
26 N 0.754 0.454 0.000
27 N 0.763 0.763 0.763

Going through the records in order, we get M_tot values of 0.00, 3.44, 0.00 μB/cell.